First-principles (GGA+U) data for a relaxed NaNiF4 crystal, as listed in Alexandria via LeMat-Bulk.

Summary:
DOS(E_F), states/eV/cell: 0.000
Energy, eV/cell: -44.9

a b c (Å): 5.6811 5.6811 5.6739
angles (deg): 90.00 90.00 90.00
Space group I-4 (No. 82)
Unique sites:
Na 0.0000 0.0000 0.0000
Ni 0.0000 0.5000 0.7500
F 0.2189 0.7212 0.7493